! PBE Ca2MgSbO, relaxed; values from VASP
! * distance to the lowest polymorph of the same formula: 0 meV/atom
! * total magnetic moment: 0.00 Bohr magnetons per cell
&SYSTEM
  ibrav = 0, nat = 5, ntyp = 4
/
ATOMIC_SPECIES
Ca 40.08 Ca.upf
O 16.00 O.upf
Mg 24.30 Mg.upf
Sb 121.76 Sb.upf
CELL_PARAMETERS angstrom
-2.8071 -1.3283 -3.7695
-1.6062 -3.8430 2.5504
-3.3205 2.4548 1.6078
ATOMIC_POSITIONS angstrom
Ca -0.8031 -1.9215 1.2752
Ca -1.4036 -0.6641 -1.8847
O 0.0000 0.0000 0.0000
Mg -1.6602 1.2274 0.8039
Sb -3.8669 -1.3583 0.1943



! PBE Ca2MgSbO, relaxed; values from VASP
! * distance to the lowest polymorph of the same formula: 1237 meV/atom
! * total magnetic moment: 0.00 Bohr magnetons per cell
&SYSTEM
  ibrav = 0, nat = 5, ntyp = 4
/
ATOMIC_SPECIES
Mg 24.30 Mg.upf
Sb 121.76 Sb.upf
Ca 40.08 Ca.upf
O 16.00 O.upf
CELL_PARAMETERS angstrom
6.1334 0.0000 0.0000
0.0000 6.1334 0.0000
0.0000 0.0000 4.2725
ATOMIC_POSITIONS angstrom
Mg 3.0667 3.0667 2.1362
Sb 0.0000 0.0000 0.0000
Ca 0.0000 3.0667 0.0000
Ca 3.0667 0.0000 0.0000
O 0.0000 0.0000 2.1362